Below is a relaxed BaMn2Zn crystal, with properties calculated at the PBE level.

Results
The crystal system is orthorhombic. The total energy comes out at -4.724 eV per atom. The density of states at the Fermi level is 0.911 states/eV/atom. The value obtained for the size of the total moment is 7.3 μB/cell. The value obtained for the energy relative to the elements is 0.660 eV per atom.

Lattice parameters (Å, degrees): 6.066 6.066 6.066 148.34 127.64 62.49
Positions (direct):
1 Mn 0.260 0.760 0.500
2 Mn 0.042 0.042 0.000
3 Ba 0.741 0.241 0.500
4 Zn 0.457 0.457 0.000


Below is a relaxed BaSr2TlAu crystal, with properties calculated at the PBE level.

Results
The crystal system is tetragonal. The total energy comes out at -2.493 eV per atom. The density of states at the Fermi level is 1.148 states/eV/atom. The value obtained for the size of the total moment is 0.0 μB/cell. The value obtained for the energy relative to the elements is -0.307 eV per atom.

Lattice parameters (Å, degrees): 6.060 6.060 6.299 90.00 90.00 90.00
Positions (direct):
1 Sr 0.500 0.000 0.000
2 Sr 0.000 0.500 0.000
3 Tl 0.500 0.500 0.500
4 Au 0.000 0.000 0.000
5 Ba 0.000 0.000 0.500


Below is a relaxed BeAlAs2Se crystal, with properties calculated at the PBE level.

Results
The crystal system is tetragonal. The formation energy without anion corrections comes out at 2.306 eV/f.u. The total energy comes out at -3.589 eV per atom. The density of states at the Fermi level is 0.727 states/eV/atom. The value obtained for the size of the total moment is 0.0 μB/cell. For the polymorph energy (0 for the lowest one), the calculation gives 0 meV/atom.

Lattice parameters (Å, degrees): 4.344 4.344 5.120 90.00 90.00 90.00
Positions (direct):
1 Se 0.000 0.000 0.500
2 As 0.000 0.500 0.000
3 As 0.500 0.000 0.000
4 Al 0.500 0.500 0.500
5 Be 0.000 0.000 0.000